## BeTlAs2 (GGA-PBE)

Data for a relaxed structure of BeTlAs2.

Cell lengths 4.1260, 4.1260, 6.8916 Å; angles 81.46, 81.46, 51.39 degrees
With the nearest neighbours (Å) after each atom.
Fractional positions:
As 0.1676 0.1676 0.3831  3 Be 2.34-2.42, 1 As 2.44
As 0.0514 0.0514 0.0716  2 Be 2.32, 1 As 2.44
Tl 0.7974 0.7974 0.7606  5 As 3.08-3.43
Be 0.4836 0.4836 0.2847  5 As 2.32-2.42

Calculated values
The crystal system is monoclinic. As for the formation energy from the elements: 0.08 eV/atom. The space-group type is No. 8. The calculation puts the density of states at the Fermi level at 1.50 states/eV/f.u. The value obtained for the electronic total energy is -15.1 eV/cell. Its volume is 90.4 Å³ per cell.